(1)
# PBE-GGA PrErTc, relaxed
data_PrErTc
_symmetry_space_group_name_H-M 'I 4 m m'
_symmetry_Int_Tables_number 107
_symmetry_space_group_name_Hall 'I 4 -2'
_cell_length_a 3.505
_cell_length_b 3.505
_cell_length_c 12.835
_cell_angle_alpha 90.00
_cell_angle_beta 90.00
_cell_angle_gamma 90.00
loop_
_atom_site_label
_atom_site_type_symbol
_atom_site_fract_x
_atom_site_fract_y
_atom_site_fract_z
_atom_site_occupancy
Pr1 Pr 0.000 0.000 0.000 1
Er1 Er 0.000 0.000 0.742 1
Tc1 Tc 0.000 0.000 0.363 1
# calculated formation energy = 0.046 eV per atom
# excess energy over the best structure of this formula in the dataset = 0.0 kJ per mole of atoms
# N(E_F) = 8.3 states/eV/cell
# crystal system = tetragonal

(2)
# PBE-GGA Tl2FeMo, relaxed
data_Tl2FeMo
_symmetry_space_group_name_H-M 'P 4/m m m'
_symmetry_Int_Tables_number 123
_symmetry_space_group_name_Hall '-P 4 2'
_cell_length_a 2.969
_cell_length_b 2.969
_cell_length_c 8.603
_cell_angle_alpha 90.00
_cell_angle_beta 90.00
_cell_angle_gamma 90.00
loop_
_atom_site_label
_atom_site_type_symbol
_atom_site_fract_x
_atom_site_fract_y
_atom_site_fract_z
_atom_site_occupancy
Tl1 Tl 0.000 0.000 0.241 1
Fe1 Fe 0.500 0.500 0.000 1
Mo1 Mo 0.500 0.500 0.500 1
# calculated formation energy = 0.843 eV per atom
# excess energy over the best structure of this formula in the dataset = 34.5 kJ per mole of atoms
# N(E_F) = 4.7 states/eV/cell
# crystal system = tetragonal

(3)
# PBE-GGA Zn8Cu3Au2, relaxed
data_Zn8Cu3Au2
_symmetry_space_group_name_H-M 'R -3 m'
_symmetry_Int_Tables_number 166
_symmetry_space_group_name_Hall '-R 3 2"'
_cell_length_a 4.9386
_cell_length_b 4.9386
_cell_length_c 28.4355
_cell_angle_alpha 90.00
_cell_angle_beta 90.00
_cell_angle_gamma 120.00
loop_
_atom_site_label
_atom_site_type_symbol
_atom_site_fract_x
_atom_site_fract_y
_atom_site_fract_z
_atom_site_occupancy
Zn1 Zn 0.0000 0.0000 0.2260 1
Zn2 Zn 0.0007 0.5003 0.2771 1
Cu1 Cu 0.0000 0.0000 0.3146 1
Cu2 Cu 0.0000 0.0000 0.5000 1
Au1 Au 0.0000 0.0000 0.1379 1
# calculated formation energy = 0.017 eV per atom
# excess energy over the best structure of this formula in the dataset = 7.9 kJ per mole of atoms
# N(E_F) = 14.5 states/eV/cell
# crystal system = trigonal

(4)
# PBE-GGA GdUS2, relaxed
data_GdUS2
_symmetry_space_group_name_H-M 'R -3 m'
_symmetry_Int_Tables_number 166
_symmetry_space_group_name_Hall '-R 3 2"'
_cell_length_a 3.8707
_cell_length_b 3.8707
_cell_length_c 19.5601
_cell_angle_alpha 90.00
_cell_angle_beta 90.00
_cell_angle_gamma 120.00
loop_
_atom_site_label
_atom_site_type_symbol
_atom_site_fract_x
_atom_site_fract_y
_atom_site_fract_z
_atom_site_occupancy
Gd1 Gd 0.0000 0.0000 0.0000 1
U1 U 0.0000 0.0000 0.5000 1
S1 S 0.0000 0.0000 0.2491 1
# N(E_F) = 15.3 states/eV/cell
# crystal system = trigonal
# raw formation energy = -1688 meV per atom

(5)
# PBE-GGA BaGa12Sn6, relaxed
data_BaGa12Sn6
_symmetry_space_group_name_H-M 'R -3 m'
_symmetry_Int_Tables_number 166
_symmetry_space_group_name_Hall '-R 3 2"'
_cell_length_a 13.6199
_cell_length_b 13.6199
_cell_length_c 8.8335
_cell_angle_alpha 90.00
_cell_angle_beta 90.00
_cell_angle_gamma 120.00
loop_
_atom_site_label
_atom_site_type_symbol
_atom_site_fract_x
_atom_site_fract_y
_atom_site_fract_z
_atom_site_occupancy
Ba1 Ba 0.0000 0.0000 0.0000 1
Ga1 Ga 0.0000 0.3992 0.5000 1
Ga2 Ga 0.0688 0.1377 0.3514 1
Sn1 Sn 0.0010 0.5005 0.2054 1
# calculated formation energy = -0.012 eV per atom
# N(E_F) = 20.3 states/eV/cell
# crystal system = trigonal

(6)
# PBE-GGA Pu2SiRh6, relaxed
data_Pu2SiRh6
_symmetry_space_group_name_H-M 'C 1 2/m 1'
_symmetry_Int_Tables_number 12
_symmetry_space_group_name_Hall '-C 2y'
_cell_length_a 9.679
_cell_length_b 5.589
_cell_length_c 5.596
_cell_angle_alpha 90.00
_cell_angle_beta 90.06
_cell_angle_gamma 90.00
loop_
_atom_site_label
_atom_site_type_symbol
_atom_site_fract_x
_atom_site_fract_y
_atom_site_fract_z
_atom_site_occupancy
Pu1 Pu 0.166 0.000 0.324 1
Si1 Si 0.000 0.500 0.500 1
Rh1 Rh 0.087 0.242 0.805 1
Rh2 Rh 0.171 0.500 0.193 1
# N(E_F) = 42.0 states/eV/cell
# crystal system = monoclinic
# raw formation energy = -554 meV per atom

(7)
# PBE-GGA CaLaY2Ru, relaxed
data_CaLaY2Ru
_symmetry_space_group_name_H-M 'P 4/m m m'
_symmetry_Int_Tables_number 123
_symmetry_space_group_name_Hall '-P 4 2'
_cell_length_a 5.533
_cell_length_b 5.533
_cell_length_c 5.496
_cell_angle_alpha 90.00
_cell_angle_beta 90.00
_cell_angle_gamma 90.00
loop_
_atom_site_label
_atom_site_type_symbol
_atom_site_fract_x
_atom_site_fract_y
_atom_site_fract_z
_atom_site_occupancy
Ca1 Ca 0.000 0.000 0.000 1
La1 La 0.500 0.500 0.000 1
Y1 Y 0.000 0.500 0.500 1
Ru1 Ru 0.500 0.500 0.500 1
# calculated formation energy = -0.150 eV per atom
# excess energy over the best structure of this formula in the dataset = 0.0 kJ per mole of atoms
# N(E_F) = 4.5 states/eV/cell
# crystal system = tetragonal

(8)
# PBE-GGA BaCa2AcAu4, relaxed
data_BaCa2AcAu4
_symmetry_space_group_name_H-M 'R -3 m'
_symmetry_Int_Tables_number 166
_symmetry_space_group_name_Hall '-R 3 2"'
_cell_length_a 5.3966
_cell_length_b 5.3966
_cell_length_c 26.7900
_cell_angle_alpha 90.00
_cell_angle_beta 90.00
_cell_angle_gamma 120.00
loop_
_atom_site_label
_atom_site_type_symbol
_atom_site_fract_x
_atom_site_fract_y
_atom_site_fract_z
_atom_site_occupancy
Ba1 Ba 0.0000 0.0000 0.0000 1
Ca1 Ca 0.0000 0.0000 0.2502 1
Ac1 Ac 0.0000 0.0000 0.5000 1
Au1 Au 0.0000 0.0000 0.1290 1
Au2 Au 0.0000 0.0000 0.3810 1
# calculated formation energy = -0.743 eV per atom
# N(E_F) = 13.9 states/eV/cell
# crystal system = trigonal

(9)
# PBE-GGA UMnSiC, relaxed
data_UMnSiC
_symmetry_space_group_name_H-M 'P 4/n m m'
_symmetry_Int_Tables_number 129
_cell_length_a 3.653
_cell_length_b 3.653
_cell_length_c 8.520
_cell_angle_alpha 90.00
_cell_angle_beta 90.00
_cell_angle_gamma 90.00
loop_
_symmetry_equiv_pos_as_xyz
'x,y,z'
'-x,-y,-z'
'-y+1/2,x,z'
'y+1/2,-x,-z'
'-x+1/2,-y+1/2,z'
'x+1/2,y+1/2,-z'
'y,-x+1/2,z'
'-y,x+1/2,-z'
'x+1/2,-y,-z'
'-x+1/2,y,z'
'-y,-x,-z'
'y,x,z'
'-x,y+1/2,-z'
'x,-y+1/2,z'
'y+1/2,x+1/2,-z'
'-y+1/2,-x+1/2,z'
loop_
_atom_site_label
_atom_site_type_symbol
_atom_site_fract_x
_atom_site_fract_y
_atom_site_fract_z
_atom_site_occupancy
U1 U 0.250 0.250 0.157 1
Mn1 Mn 0.250 0.750 0.500 1
Si1 Si 0.250 0.250 0.670 1
C1 C 0.250 0.250 0.889 1
# N(E_F) = 11.2 states/eV/cell
# crystal system = tetragonal
# raw formation energy = -283 meV per atom

(10)
# PBE-GGA Nd3ScSb4, relaxed
data_Nd3ScSb4
_symmetry_space_group_name_H-M 'P 1 2/c 1'
_symmetry_Int_Tables_number 13
_symmetry_space_group_name_Hall '-P 2yc'
_cell_length_a 7.686
_cell_length_b 8.905
_cell_length_c 7.697
_cell_angle_alpha 90.00
_cell_angle_beta 109.52
_cell_angle_gamma 90.00
loop_
_atom_site_label
_atom_site_type_symbol
_atom_site_fract_x
_atom_site_fract_y
_atom_site_fract_z
_atom_site_occupancy
Nd1 Nd 0.000 0.124 0.250 1
Nd2 Nd 0.000 0.373 0.750 1
Nd3 Nd 0.500 0.374 0.250 1
Sc1 Sc 0.500 0.125 0.750 1
Sb1 Sb 0.257 0.367 0.508 1
Sb2 Sb 0.266 0.116 0.000 1
# N(E_F) = 1.4 states/eV/cell
# crystal system = monoclinic
# raw formation energy = -1097 meV per atom

(11)
# PBE-GGA CeThPaGe, relaxed
data_CeThPaGe
_symmetry_space_group_name_H-M 'F -4 3 m'
_symmetry_Int_Tables_number 216
_symmetry_space_group_name_Hall 'F -4 2 3'
_cell_length_a 7.402
_cell_length_b 7.402
_cell_length_c 7.402
_cell_angle_alpha 90.00
_cell_angle_beta 90.00
_cell_angle_gamma 90.00
loop_
_atom_site_label
_atom_site_type_symbol
_atom_site_fract_x
_atom_site_fract_y
_atom_site_fract_z
_atom_site_occupancy
Ce1 Ce 0.000 0.000 0.000 1
Th1 Th 0.000 0.000 0.500 1
Pa1 Pa 0.250 0.250 0.750 1
Ge1 Ge 0.250 0.250 0.250 1
# calculated formation energy = 0.034 eV per atom
# N(E_F) = 40.9 states/eV/cell
# crystal system = cubic

(12)
# PBE-GGA Th2Co5Ge2, relaxed
data_Th2Co5Ge2
_symmetry_space_group_name_H-M 'P 4/m m m'
_symmetry_Int_Tables_number 123
_symmetry_space_group_name_Hall '-P 4 2'
_cell_length_a 4.085
_cell_length_b 4.085
_cell_length_c 8.584
_cell_angle_alpha 90.00
_cell_angle_beta 90.00
_cell_angle_gamma 90.00
loop_
_atom_site_label
_atom_site_type_symbol
_atom_site_fract_x
_atom_site_fract_y
_atom_site_fract_z
_atom_site_occupancy
Th1 Th 0.000 0.000 0.000 1
Th2 Th 0.000 0.000 0.500 1
Co1 Co 0.000 0.500 0.222 1
Co2 Co 0.500 0.500 0.000 1
Ge1 Ge 0.500 0.500 0.344 1
# calculated formation energy = -0.349 eV per atom
# N(E_F) = 7.6 states/eV/cell
# crystal system = tetragonal

Among the records above, which one has the lowest N(E_F)? Nd3ScSb4

Which value of N(E_F) does entry 3 give? 14.5 states/eV/cell

Which of these has the highest N(E_F)? Pu2SiRh6

N(E_F) of number 11 (CeThPaGe)? 40.9 states/eV/cell